The following is a DFT calculation (SCAN) of a crystal of Sr3Hg relaxed with PBEsol.

Computed properties:
energy: -34.0806 eV/atom
crystal system: orthorhombic
N(E_F): 0.5309 states/eV/atom
energy above the most stable polymorph in this dataset: 55 meV/atom

abc: 4.1832 6.9720 7.1344
angles: 119.25 107.05 90.00
With the nearest neighbours (Å) after each atom.
Positions (direct):
Sr: 0.6902 0.0609 0.3804  2 Hg 3.27
Sr: 0.3098 0.6805 0.6196  2 Hg 3.27
Sr: 0.5000 0.3884 0.0000  2 Hg 3.22
Hg: 0.0000 0.0368 0.0000  6 Sr 3.22-3.27



The following is a DFT calculation (SCAN) of a crystal of CaTaPt relaxed with PBEsol.

Computed properties:
energy: -48.8371 eV/atom
crystal system: cubic
N(E_F): 0.7597 states/eV/atom

abc: 4.5404 4.5404 4.5404
angles: 60.00 60.00 60.00
With the nearest neighbours (Å) after each atom.
Positions (direct):
Ta: 0.0000 0.0000 0.0000  4 Pt 2.78
Pt: 0.2500 0.2500 0.2500  4 Ca 2.78, 4 Ta 2.78
Ca: 0.5000 0.5000 0.5000  4 Pt 2.78



The following is a DFT calculation (SCAN) of a crystal of Y2ScAu2 relaxed with PBEsol.

Computed properties:
energy: -42.5865 eV/atom
crystal system: tetragonal
N(E_F): 1.4339 states/eV/atom

abc: 3.7064 7.8985 7.8985
angles: 90.00 90.00 90.00
With the nearest neighbours (Å) after each atom.
Positions (direct):
Y: 0.5000 0.1654 0.6654  6 Au 2.91-3.01
Y: 0.5000 0.6654 0.8346  6 Au 2.91-3.01
Au: 0.0000 0.6338 0.1338  6 Y 2.91-3.01, 1 Au 2.99, 2 Sc 3.08
Sc: 0.0000 0.5000 0.5000  4 Au 3.08
Sc: 0.0000 0.0000 0.0000  4 Au 3.08
Y: 0.5000 0.8346 0.3346  6 Au 2.91-3.01
Au: 0.0000 0.8662 0.6338  6 Y 2.91-3.01, 1 Au 2.99, 2 Sc 3.08
Au: 0.0000 0.1338 0.3662  6 Y 2.91-3.01, 1 Au 2.99, 2 Sc 3.08
Au: 0.0000 0.3662 0.8662  6 Y 2.91-3.01, 1 Au 2.99, 2 Sc 3.08
Y: 0.5000 0.3346 0.1654  6 Au 2.91-3.01



The following is a DFT calculation (SCAN) of a crystal of CrMo3 relaxed with PBEsol.

Computed properties:
energy: -30.6876 eV/atom
crystal system: orthorhombic
N(E_F): 0.5779 states/eV/atom

abc: 2.6649 2.6649 8.5738
angles: 90.00 90.00 109.65
With the nearest neighbours (Å) after each atom.
Positions (direct):
Cr: 0.0000 0.0000 0.0000  4 Mo 2.55, 4 Cr 2.66
Mo: 0.0000 0.0000 0.5000  8 Mo 2.66-2.72
Mo: 0.5000 0.5000 0.2375  2 Cr 2.55, 6 Mo 2.66-2.72
Mo: 0.5000 0.5000 0.7625  2 Cr 2.55, 6 Mo 2.66-2.72



The following is a DFT calculation (SCAN) of a crystal of K2BaFe relaxed with PBEsol.

Computed properties:
energy: -17.8931 eV/atom
crystal system: tetragonal
N(E_F): 0.7239 states/eV/atom
energy above the most stable polymorph in this dataset: 139 meV/atom

abc: 5.0082 5.0082 6.5650
angles: 90.00 90.00 90.00
With the nearest neighbours (Å) after each atom.
Positions (direct):
Ba: 0.5000 0.5000 0.5000  4 Fe 3.54
K: 0.0000 0.5000 0.0000  4 K 3.54
K: 0.5000 0.0000 0.0000  4 K 3.54
Fe: 0.0000 0.0000 0.5000  4 Ba 3.54



The following is a DFT calculation (SCAN) of a crystal of LiLaGe2 relaxed with PBEsol.

Computed properties:
energy: -21.6899 eV/atom
crystal system: orthorhombic
N(E_F): 0.2726 states/eV/atom
energy above the most stable polymorph in this dataset: 0 meV/atom

abc: 3.9907 7.7637 10.7737
angles: 90.00 90.00 90.00
With the nearest neighbours (Å) after each atom.
Positions (direct):
Ge: 0.7500 0.7798 0.5688  2 Ge 2.53, 3 Li 2.62-2.63
La: 0.2500 0.6405 0.3670  9 Ge 3.11-3.41
Li: 0.7500 0.0077 0.3895  5 Ge 2.57-2.70
Ge: 0.7500 0.8411 0.1831  2 Ge 2.53, 2 Li 2.57-2.70
Ge: 0.2500 0.2202 0.4312  2 Ge 2.53, 3 Li 2.62-2.63
Ge: 0.2500 0.7202 0.0688  2 Ge 2.53, 3 Li 2.62-2.63
La: 0.7500 0.3595 0.6330  9 Ge 3.11-3.41
La: 0.7500 0.8595 0.8670  9 Ge 3.11-3.41
Li: 0.2500 0.4923 0.8895  5 Ge 2.57-2.70
Li: 0.2500 0.9923 0.6105  5 Ge 2.57-2.70
Ge: 0.7500 0.3411 0.3169  2 Ge 2.53, 2 Li 2.57-2.70
Li: 0.7500 0.5077 0.1105  5 Ge 2.57-2.70
Ge: 0.7500 0.2798 0.9312  2 Ge 2.53, 3 Li 2.62-2.63
Ge: 0.2500 0.6589 0.6831  2 Ge 2.53, 2 Li 2.57-2.70
Ge: 0.2500 0.1589 0.8169  2 Ge 2.53, 2 Li 2.57-2.70
La: 0.2500 0.1405 0.1330  9 Ge 3.11-3.41



Ρ for the records above, in order: 4.501; 10.440; 8.858; 9.840; 2.737; 5.793 g cm⁻³
Magnetization for the records above, in order: 0.03; 0.53; 0.00; 0.00; 2.54; 0.00 μB/cell
ΔH_f (0 K) for the records above, in order: -128; -7; -453; 28; 267; -298 kJ/mol of formula units